# 1
{"formula": "ZnPH11C6NO5", "functional": "PBE-GGA", "state": "optimized geometry", "lattice": [[4.9079, 0.0000, 0.0000], [2.0367, 8.4140, 0.0000], [1.8324, 0.7604, 11.1078]], "species": ["Zn", "Zn", "P", "P", "H", "H", "H", "H", "H", "H", "H", "H", "H", "H", "H", "H", "H", "H", "H", "H", "H", "H", "H", "H", "H", "H", "C", "C", "C", "C", "C", "C", "C", "C", "C", "C", "C", "C", "N", "N", "O", "O", "O", "O", "O", "O", "O", "O", "O", "O"], "fractional_positions": [[0.1460, 0.1627, 0.4185], [0.8540, 0.8373, 0.5815], [0.4277, 0.7925, 0.4313], [0.5723, 0.2075, 0.5687], [0.0253, 0.9024, 0.1271], [0.0308, 0.6111, 0.0932], [0.1063, 0.5517, 0.7231], [0.1635, 0.7325, 0.9500], [0.1833, 0.6415, 0.3417], [0.2000, 0.9456, 0.2259], [0.2262, 0.0817, 0.0170], [0.3395, 0.8785, 0.7636], [0.4398, 0.1288, 0.9072], [0.4801, 0.3542, 0.7450], [0.4972, 0.5169, 0.3899], [0.5028, 0.4831, 0.6101], [0.5199, 0.6458, 0.2550], [0.5602, 0.8712, 0.0928], [0.6605, 0.1215, 0.2364], [0.7738, 0.9183, 0.9830], [0.8000, 0.0544, 0.7741], [0.8167, 0.3585, 0.6583], [0.8365, 0.2675, 0.0500], [0.8937, 0.4483, 0.2769], [0.9692, 0.3889, 0.9068], [0.9747, 0.0976, 0.8729], [0.0996, 0.4133, 0.2225], [0.1796, 0.5028, 0.1192], [0.3750, 0.6870, 0.9035], [0.4074, 0.6330, 0.3465], [0.4504, 0.4536, 0.0543], [0.4707, 0.7700, 0.7997], [0.5293, 0.2300, 0.2003], [0.5496, 0.5464, 0.9457], [0.5926, 0.3670, 0.6535], [0.6250, 0.3130, 0.0965], [0.8204, 0.4972, 0.8808], [0.9004, 0.5867, 0.7775], [0.2709, 0.2803, 0.2631], [0.7291, 0.7197, 0.7369], [0.1924, 0.9438, 0.1378], [0.2347, 0.1477, 0.9392], [0.2583, 0.2140, 0.5640], [0.2680, 0.7736, 0.5599], [0.2839, 0.9471, 0.3624], [0.7161, 0.0529, 0.6376], [0.7320, 0.2264, 0.4401], [0.7417, 0.7860, 0.4360], [0.7653, 0.8523, 0.0608], [0.8076, 0.0562, 0.8622]], "energy_ev_per_atom": -5.947}

# 2
{"formula": "ZnP2H11C2NO8", "functional": "PBE-GGA", "state": "optimized geometry", "lattice": [[6.0244, -5.2739, 0.0000], [6.0244, 5.2739, 0.0000], [-1.9346, 0.0000, 14.2613]], "species": ["Zn", "Zn", "Zn", "Zn", "P", "P", "P", "P", "P", "P", "P", "P", "H", "H", "H", "H", "H", "H", "H", "H", "H", "H", "H", "H", "H", "H", "H", "H", "H", "H", "H", "H", "H", "H", "H", "H", "H", "H", "H", "H", "H", "H", "H", "H", "H", "H", "H", "H", "H", "H", "H", "H", "H", "H", "H", "H", "C", "C", "C", "C", "C", "C", "C", "C", "N", "N", "N", "N", "O", "O", "O", "O", "O", "O", "O", "O", "O", "O", "O", "O", "O", "O", "O", "O", "O", "O", "O", "O", "O", "O", "O", "O", "O", "O", "O", "O", "O", "O", "O", "O"], "fractional_positions": [[0.1081, 0.3684, 0.4215], [0.1207, 0.8793, 0.5000], [0.3684, 0.1081, 0.9215], [0.8793, 0.1207, 0.0000], [0.0411, 0.9906, 0.8027], [0.2118, 0.2406, 0.1167], [0.2406, 0.2118, 0.6167], [0.3644, 0.6185, 0.3777], [0.6185, 0.3644, 0.8777], [0.6381, 0.8632, 0.0443], [0.8632, 0.6381, 0.5443], [0.9906, 0.0411, 0.3027], [0.0130, 0.7664, 0.9153], [0.0189, 0.2138, 0.7021], [0.0256, 0.7926, 0.6830], [0.1014, 0.3935, 0.9174], [0.1353, 0.7951, 0.0719], [0.2003, 0.5229, 0.8506], [0.2138, 0.0189, 0.2021], [0.2190, 0.5767, 0.0623], [0.2344, 0.4265, 0.2481], [0.2613, 0.7979, 0.2735], [0.2899, 0.7179, 0.9902], [0.3359, 0.5973, 0.6163], [0.3453, 0.6523, 0.7408], [0.3911, 0.8845, 0.6547], [0.3935, 0.1014, 0.4174], [0.4265, 0.2344, 0.7481], [0.4521, 0.9420, 0.1464], [0.5057, 0.9786, 0.3265], [0.5221, 0.5289, 0.6891], [0.5229, 0.2003, 0.3506], [0.5289, 0.5221, 0.1891], [0.5475, 0.8566, 0.8106], [0.5533, 0.7661, 0.6053], [0.5767, 0.2190, 0.5623], [0.5973, 0.3359, 0.1163], [0.6041, 0.6136, 0.9441], [0.6136, 0.6041, 0.4441], [0.6466, 0.9315, 0.4801], [0.6523, 0.3453, 0.2408], [0.6538, 0.9576, 0.7317], [0.7173, 0.7398, 0.7508], [0.7179, 0.2899, 0.4902], [0.7398, 0.7173, 0.2508], [0.7664, 0.0130, 0.4153], [0.7661, 0.5533, 0.1053], [0.7926, 0.0256, 0.1830], [0.7951, 0.1353, 0.5719], [0.7979, 0.2613, 0.7735], [0.8566, 0.5475, 0.3106], [0.8845, 0.3911, 0.1547], [0.9315, 0.6466, 0.9801], [0.9420, 0.4521, 0.6464], [0.9576, 0.6538, 0.2317], [0.9786, 0.5057, 0.8265], [0.0837, 0.5089, 0.8810], [0.1818, 0.6882, 0.0236], [0.4177, 0.6300, 0.6793], [0.5089, 0.0837, 0.3810], [0.6100, 0.8394, 0.7457], [0.6300, 0.4177, 0.1793], [0.6882, 0.1818, 0.5236], [0.8394, 0.6100, 0.2457], [0.0434, 0.6558, 0.9497], [0.4891, 0.7871, 0.6665], [0.6558, 0.0434, 0.4497], [0.7871, 0.4891, 0.1665], [0.0224, 0.2237, 0.1008], [0.0385, 0.2208, 0.3156], [0.0437, 0.8049, 0.7548], [0.0865, 0.3018, 0.6708], [0.1148, 0.9260, 0.2408], [0.2208, 0.0385, 0.8156], [0.2237, 0.0224, 0.6008], [0.2367, 0.4103, 0.1760], [0.2451, 0.4836, 0.3476], [0.2512, 0.2945, 0.5276], [0.2945, 0.2512, 0.0276], [0.3018, 0.0865, 0.1708], [0.3177, 0.7303, 0.4651], [0.3713, 0.7230, 0.2918], [0.4103, 0.2367, 0.6760], [0.4836, 0.2451, 0.8476], [0.5176, 0.9165, 0.9608], [0.5267, 0.5478, 0.8962], [0.5385, 0.8420, 0.1310], [0.5478, 0.5267, 0.3962], [0.6868, 0.7316, 0.5187], [0.7230, 0.3713, 0.7918], [0.7303, 0.3177, 0.9651], [0.7316, 0.6868, 0.0187], [0.7640, 0.9929, 0.0777], [0.8049, 0.0437, 0.2548], [0.8420, 0.5385, 0.6310], [0.9165, 0.5176, 0.4608], [0.9260, 0.1148, 0.7408], [0.9693, 0.9783, 0.8970], [0.9783, 0.9693, 0.3970], [0.9929, 0.7640, 0.5777]], "energy_ev_per_atom": -5.717}

# 3
{"formula": "Zn3P3H12C11N5O10", "functional": "PBE-GGA", "state": "optimized geometry", "lattice": [[7.8905, -3.6154, 0.0000], [7.8905, 3.6154, 0.0000], [0.0000, 0.0000, 17.0668]], "species": ["Zn", "Zn", "Zn", "Zn", "Zn", "Zn", "P", "P", "P", "P", "P", "P", "H", "H", "H", "H", "H", "H", "H", "H", "H", "H", "H", "H", "H", "H", "H", "H", "H", "H", "H", "H", "H", "H", "H", "H", "C", "C", "C", "C", "C", "C", "C", "C", "C", "C", "C", "C", "C", "C", "C", "C", "C", "C", "C", "C", "C", "C", "N", "N", "N", "N", "N", "N", "N", "N", "N", "N", "O", "O", "O", "O", "O", "O", "O", "O", "O", "O", "O", "O", "O", "O", "O", "O", "O", "O", "O", "O"], "fractional_positions": [[0.0784, 0.5736, 0.1023], [0.2434, 0.7566, 0.5000], [0.4264, 0.9216, 0.1023], [0.5736, 0.0784, 0.6023], [0.7566, 0.2434, 0.0000], [0.9216, 0.4264, 0.6023], [0.0871, 0.9129, 0.1160], [0.2461, 0.4086, 0.4920], [0.4086, 0.2461, 0.9920], [0.5914, 0.7539, 0.4920], [0.7539, 0.5914, 0.9920], [0.9129, 0.0871, 0.6160], [0.0082, 0.4524, 0.3879], [0.0686, 0.6826, 0.6603], [0.1200, 0.1410, 0.4122], [0.1240, 0.5965, 0.2771], [0.1410, 0.1200, 0.9122], [0.1749, 0.8251, 0.0424], [0.2693, 0.3640, 0.9311], [0.3075, 0.6925, 0.7275], [0.3174, 0.9314, 0.6603], [0.3640, 0.2693, 0.4311], [0.4035, 0.8760, 0.2771], [0.4524, 0.0082, 0.8879], [0.5476, 0.9918, 0.3879], [0.5965, 0.1240, 0.7771], [0.6360, 0.7307, 0.9311], [0.6826, 0.0686, 0.1603], [0.6925, 0.3075, 0.2275], [0.7307, 0.6360, 0.4311], [0.8251, 0.1749, 0.5424], [0.8590, 0.8800, 0.4122], [0.8760, 0.4035, 0.7771], [0.8800, 0.8590, 0.9122], [0.9314, 0.3174, 0.1603], [0.9918, 0.5476, 0.8879], [0.0111, 0.1344, 0.3850], [0.0130, 0.4462, 0.3247], [0.0338, 0.6216, 0.7058], [0.0695, 0.5152, 0.2700], [0.0949, 0.7559, 0.8173], [0.1344, 0.0111, 0.8850], [0.2271, 0.7729, 0.7816], [0.2441, 0.9051, 0.8173], [0.3784, 0.9662, 0.7058], [0.4462, 0.0130, 0.8247], [0.4848, 0.9305, 0.2700], [0.5152, 0.0695, 0.7700], [0.5538, 0.9870, 0.3247], [0.6216, 0.0338, 0.2058], [0.7559, 0.0949, 0.3173], [0.7729, 0.2271, 0.2816], [0.8656, 0.9889, 0.3850], [0.9051, 0.2441, 0.3173], [0.9305, 0.4848, 0.7700], [0.9662, 0.3784, 0.2058], [0.9870, 0.5538, 0.8247], [0.9889, 0.8656, 0.8850], [0.0066, 0.9934, 0.9175], [0.0401, 0.4709, 0.1964], [0.0525, 0.6392, 0.7836], [0.3608, 0.9475, 0.7836], [0.4709, 0.0401, 0.6964], [0.5291, 0.9599, 0.1964], [0.6392, 0.0525, 0.2836], [0.9475, 0.3608, 0.2836], [0.9599, 0.5291, 0.6964], [0.9934, 0.0066, 0.4175], [0.0673, 0.7723, 0.1600], [0.1118, 0.3622, 0.5192], [0.1237, 0.8763, 0.6037], [0.1370, 0.6199, 0.4600], [0.2277, 0.9327, 0.1600], [0.3595, 0.3978, 0.0587], [0.3622, 0.1118, 0.0192], [0.3801, 0.8630, 0.4600], [0.3978, 0.3595, 0.5587], [0.4928, 0.5072, 0.0465], [0.5072, 0.4928, 0.5465], [0.6022, 0.6405, 0.0587], [0.6199, 0.1370, 0.9600], [0.6378, 0.8882, 0.5192], [0.6405, 0.6022, 0.5587], [0.7723, 0.0673, 0.6600], [0.8630, 0.3801, 0.9600], [0.8763, 0.1237, 0.1037], [0.8882, 0.6378, 0.0192], [0.9327, 0.2277, 0.6600]], "energy_ev_per_atom": -6.316}

# 4
{"formula": "Zn3P4H24C6N2O12", "functional": "PBE-GGA", "state": "optimized geometry", "lattice": [[7.9791, -4.0615, 0.0000], [7.9791, 4.0615, 0.0000], [-6.8542, 0.0000, 15.1530]], "species": ["Zn", "Zn", "Zn", "Zn", "Zn", "Zn", "P", "P", "P", "P", "P", "P", "P", "P", "H", "H", "H", "H", "H", "H", "H", "H", "H", "H", "H", "H", "H", "H", "H", "H", "H", "H", "H", "H", "H", "H", "H", "H", "H", "H", "H", "H", "H", "H", "H", "H", "H", "H", "H", "H", "H", "H", "H", "H", "H", "H", "H", "H", "H", "H", "H", "H", "C", "C", "C", "C", "C", "C", "C", "C", "C", "C", "C", "C", "N", "N", "N", "N", "O", "O", "O", "O", "O", "O", "O", "O", "O", "O", "O", "O", "O", "O", "O", "O", "O", "O", "O", "O", "O", "O", "O", "O"], "fractional_positions": [[0.0210, 0.2477, 0.5203], [0.1589, 0.8411, 0.7500], [0.2477, 0.0210, 0.0203], [0.7523, 0.9790, 0.9797], [0.8411, 0.1589, 0.2500], [0.9790, 0.7523, 0.4797], [0.1108, 0.8744, 0.3745], [0.1256, 0.8892, 0.1255], [0.2557, 0.4492, 0.6100], [0.4492, 0.2557, 0.1100], [0.5508, 0.7443, 0.8900], [0.7443, 0.5508, 0.3900], [0.8744, 0.1108, 0.8745], [0.8892, 0.1256, 0.6255], [0.0123, 0.4924, 0.1532], [0.0770, 0.5237, 0.9620], [0.0927, 0.3074, 0.8944], [0.1200, 0.3026, 0.2889], [0.1856, 0.4593, 0.2913], [0.1898, 0.6159, 0.8518], [0.2127, 0.3195, 0.7446], [0.2308, 0.7509, 0.1780], [0.2491, 0.7692, 0.3220], [0.2853, 0.3863, 0.4335], [0.2953, 0.6021, 0.9654], [0.3026, 0.1200, 0.7889], [0.3074, 0.0927, 0.3944], [0.3195, 0.2127, 0.2446], [0.3658, 0.4539, 0.1328], [0.3841, 0.8102, 0.6482], [0.3863, 0.2853, 0.9335], [0.3979, 0.7047, 0.5346], [0.4413, 0.4677, 0.8846], [0.4539, 0.3658, 0.6328], [0.4593, 0.1856, 0.7913], [0.4677, 0.4413, 0.3846], [0.4763, 0.9230, 0.5380], [0.4924, 0.0123, 0.6532], [0.5076, 0.9877, 0.3468], [0.5237, 0.0770, 0.4620], [0.5323, 0.5587, 0.6154], [0.5407, 0.8144, 0.2087], [0.5461, 0.6342, 0.3672], [0.5587, 0.5323, 0.1154], [0.6021, 0.2953, 0.4654], [0.6137, 0.7147, 0.0665], [0.6159, 0.1898, 0.3518], [0.6342, 0.5461, 0.8672], [0.6805, 0.7873, 0.7554], [0.6926, 0.9073, 0.6056], [0.6974, 0.8800, 0.2111], [0.7047, 0.3979, 0.0346], [0.7147, 0.6137, 0.5665], [0.7509, 0.2308, 0.6780], [0.7692, 0.2491, 0.8220], [0.7873, 0.6805, 0.2554], [0.8102, 0.3841, 0.1482], [0.8144, 0.5407, 0.7087], [0.8800, 0.6974, 0.7111], [0.9073, 0.6926, 0.1056], [0.9230, 0.4763, 0.0380], [0.9877, 0.5076, 0.8468], [0.0978, 0.4287, 0.8976], [0.2378, 0.3166, 0.2956], [0.3040, 0.5237, 0.8973], [0.3166, 0.2378, 0.7956], [0.4287, 0.0978, 0.3976], [0.4763, 0.6960, 0.6027], [0.5237, 0.3040, 0.3973], [0.5713, 0.9022, 0.6024], [0.6834, 0.7622, 0.2044], [0.6960, 0.4763, 0.1027], [0.7622, 0.6834, 0.7044], [0.9022, 0.5713, 0.1024], [0.2842, 0.3621, 0.8838], [0.3621, 0.2842, 0.3838], [0.6379, 0.7158, 0.6162], [0.7158, 0.6379, 0.1162], [0.0097, 0.1673, 0.9465], [0.0243, 0.0829, 0.1844], [0.0829, 0.0243, 0.6844], [0.1303, 0.7271, 0.4101], [0.1673, 0.0097, 0.4465], [0.1721, 0.6055, 0.6874], [0.1940, 0.5237, 0.5258], [0.2239, 0.2903, 0.5941], [0.2729, 0.8697, 0.0899], [0.2903, 0.2239, 0.0941], [0.3945, 0.8279, 0.8126], [0.4763, 0.8060, 0.9742], [0.5237, 0.1940, 0.0258], [0.6055, 0.1721, 0.1874], [0.7097, 0.7761, 0.9059], [0.7271, 0.1303, 0.9101], [0.7761, 0.7097, 0.4059], [0.8060, 0.4763, 0.4742], [0.8279, 0.3945, 0.3126], [0.8327, 0.9903, 0.5535], [0.8697, 0.2729, 0.5899], [0.9171, 0.9757, 0.3156], [0.9757, 0.9171, 0.8156], [0.9903, 0.8327, 0.0535]], "energy_ev_per_atom": -5.502}

Number 3 is which compound? Zn3P3H12C11N5O10